Material: CsNpMoO6
Method: DFT, PBE with a Hubbard U
State: optimized geometry

Geometry as CIF:
```
data_CsNpMoO6
_chemical_formula_sum 'Cs2 Np2 Mo2 O12'
_symmetry_space_group_name_H-M 'P 1'
_symmetry_Int_Tables_number 1
_cell_length_a 7.6587
_cell_length_b 7.6587
_cell_length_c 7.6587
_cell_angle_alpha 122.11
_cell_angle_beta 118.17
_cell_angle_gamma 89.80
loop_
_symmetry_equiv_pos_as_xyz
'x,y,z'
loop_
_atom_site_label
_atom_site_fract_x
_atom_site_fract_y
_atom_site_fract_z
Cs1 0.3746 0.1246 0.2500
Cs2 0.6254 0.8754 0.7500
Np1 0.0000 0.5000 0.5000
Np2 0.5000 0.5000 0.0000
Mo1 0.0000 0.0000 0.5000
Mo2 0.0000 0.5000 0.0000
O1 0.0526 0.8026 0.2500
O2 0.0586 0.4312 0.2384
O3 0.0586 0.8202 0.6274
O4 0.3072 0.1798 0.7384
O5 0.3072 0.5688 0.1274
O6 0.3217 0.5717 0.7500
O7 0.6783 0.4283 0.2500
O8 0.6928 0.4312 0.8726
O9 0.6928 0.8202 0.2616
O10 0.9414 0.1798 0.3726
O11 0.9414 0.5688 0.7616
O12 0.9474 0.1974 0.7500
```

* energy above the most stable polymorph in this dataset: 0.036 eV per atom